Density functional theory data (GGA-PBE) for a geometry-optimized ZrCoI2N structure.

- VASP energy: -4.9768 eV/atom
- Formation energy from raw total energies: 0.439 eV/atom
- Crystal system: tetragonal
- Relative energy among the computed polymorphs: 0.08 eV per formula unit
- Theoretical density: 5.0 g/cm³

```
data_ZrCoI2N
_chemical_formula_sum 'Zr1 Co1 I2 N1'
_symmetry_space_group_name_H-M 'P 4/m m m'
_symmetry_Int_Tables_number 123
_symmetry_space_group_name_Hall '-P 4 2'
_cell_length_a 5.919
_cell_length_b 5.919
_cell_length_c 3.993
_cell_angle_alpha 90.00
_cell_angle_beta 90.00
_cell_angle_gamma 90.00
loop_
_atom_site_label
_atom_site_fract_x
_atom_site_fract_y
_atom_site_fract_z
Zr1 0.000 0.000 0.000
Co1 0.500 0.500 0.500
I1 0.000 0.500 0.000
N1 0.000 0.000 0.500
```


Density functional theory data (GGA-PBE) for a geometry-optimized ZrCoIN2 structure.

- VASP energy: -5.6829 eV/atom
- Formation energy from raw total energies: 1.088 eV/atom
- Crystal system: tetragonal
- Relative energy among the computed polymorphs: 1.65 eV per formula unit
- Theoretical density: 6.6 g/cm³

```
data_ZrCoIN2
_chemical_formula_sum 'Zr1 Co1 I1 N2'
_symmetry_space_group_name_H-M 'P 4/m m m'
_symmetry_Int_Tables_number 123
_symmetry_space_group_name_Hall '-P 4 2'
_cell_length_a 3.974
_cell_length_b 3.974
_cell_length_c 4.825
_cell_angle_alpha 90.00
_cell_angle_beta 90.00
_cell_angle_gamma 90.00
loop_
_atom_site_label
_atom_site_fract_x
_atom_site_fract_y
_atom_site_fract_z
Zr1 0.000 0.000 0.000
Co1 0.500 0.500 0.500
I1 0.500 0.500 0.000
N1 0.000 0.500 0.500
```


> Number 2 is which compound?

ZrCoIN2


> Among the records above, which one has the highest relative energy among the computed polymorphs?

ZrCoIN2


> The lowest VASP energy belongs to which entry?

ZrCoIN2